No. 1
DFT (GGA-PBE) results for crystalline Be2InSb at its relaxed geometry.

Its space group is C2/m. Its formation energy (no corrections) is 0.651 eV/atom.

Unit cell a=6.572 b=7.431 c=3.048 alpha=90.00 beta=102.31 gamma=90.00
Positions (direct):
Be (0.250, 0.250, 0.000)
Be (0.250, 0.750, 0.000)
Be (0.750, 0.250, 0.000)
Be (0.750, 0.750, 0.000)
In (0.000, 0.000, 0.500)
In (0.500, 0.500, 0.500)
Sb (0.000, 0.500, 0.500)
Sb (0.500, 0.000, 0.500)

No. 2
DFT (GGA-PBE) results for crystalline RbSiB at its relaxed geometry.

Its space group is Pnma. Its formation energy (no corrections) is 0.381 eV/atom.

Unit cell a=10.604 b=3.838 c=7.433 alpha=90.00 beta=90.00 gamma=90.00
Positions (direct):
Rb (0.181, 0.250, 0.003)
Rb (0.319, 0.750, 0.503)
Rb (0.681, 0.250, 0.497)
Rb (0.819, 0.750, 0.997)
Si (0.012, 0.250, 0.610)
Si (0.488, 0.750, 0.110)
Si (0.512, 0.250, 0.890)
Si (0.988, 0.750, 0.390)
B (0.026, 0.750, 0.663)
B (0.474, 0.250, 0.163)
B (0.526, 0.750, 0.837)
B (0.974, 0.250, 0.337)

No. 3
DFT (GGA-PBE) results for crystalline GaPbN2 at its relaxed geometry.

Its space group is Fm-3m. Its formation energy (no corrections) is 1.402 eV/atom.

Unit cell a=6.021 b=6.021 c=6.021 alpha=90.00 beta=90.00 gamma=90.00
Positions (direct):
Ga (0.000, 0.000, 0.000)
Ga (0.000, 0.500, 0.500)
Ga (0.500, 0.000, 0.500)
Ga (0.500, 0.500, 0.000)
Pb (0.000, 0.000, 0.500)
Pb (0.000, 0.500, 0.000)
Pb (0.500, 0.000, 0.000)
Pb (0.500, 0.500, 0.500)
N (0.250, 0.250, 0.250)
N (0.250, 0.250, 0.750)
N (0.250, 0.750, 0.250)
N (0.250, 0.750, 0.750)
N (0.750, 0.250, 0.250)
N (0.750, 0.250, 0.750)
N (0.750, 0.750, 0.250)
N (0.750, 0.750, 0.750)

No. 4
DFT (GGA-PBE) results for crystalline MgAg3Pd12 at its relaxed geometry.

The value obtained for the formation enthalpy at 0 K is -0.127 eV/atom. Its space group is P4/mmm.

Unit cell a=3.994 b=3.994 c=15.887 alpha=90.00 beta=90.00 gamma=90.00
Positions (direct):
Mg (0.000, 0.000, 0.000)
Ag (0.000, 0.000, 0.249)
Ag (0.000, 0.000, 0.500)
Ag (0.000, 0.000, 0.751)
Pd (0.000, 0.500, 0.122)
Pd (0.000, 0.500, 0.374)
Pd (0.000, 0.500, 0.626)
Pd (0.000, 0.500, 0.878)
Pd (0.500, 0.000, 0.122)
Pd (0.500, 0.000, 0.374)
Pd (0.500, 0.000, 0.626)
Pd (0.500, 0.000, 0.878)
Pd (0.500, 0.500, 0.000)
Pd (0.500, 0.500, 0.249)
Pd (0.500, 0.500, 0.500)
Pd (0.500, 0.500, 0.751)

No. 5
DFT (GGA-PBE) results for crystalline ZrGaNi2H at its relaxed geometry.

Its space group is P4/mmm.

Unit cell a=3.902 b=3.902 c=4.059 alpha=90.00 beta=90.00 gamma=90.00
Positions (direct):
Zr (0.000, 0.000, 0.000)
Ga (0.500, 0.500, 0.000)
Ni (0.000, 0.500, 0.500)
Ni (0.500, 0.000, 0.500)
H (0.000, 0.000, 0.500)

No. 6
DFT (GGA-PBE) results for crystalline EuH3Rh at its relaxed geometry.

Its space group is Pm-3m.

Unit cell a=3.740 b=3.740 c=3.740 alpha=90.00 beta=90.00 gamma=90.00
Positions (direct):
Eu (0.000, 0.000, 0.000)
H (0.000, 0.500, 0.500)
H (0.500, 0.000, 0.500)
H (0.500, 0.500, 0.000)
Rh (0.500, 0.500, 0.500)

No. 7
DFT (GGA-PBE) results for crystalline PrGdAg4 at its relaxed geometry.

The value obtained for the formation enthalpy at 0 K is -0.162 eV/atom. Its space group is F-43m.

Unit cell a=5.776 b=5.776 c=5.776 alpha=60.00 beta=60.00 gamma=60.00
Positions (direct):
Pr (0.000, 0.000, 0.000)
Gd (0.250, 0.250, 0.250)
Ag (0.126, 0.625, 0.625)
Ag (0.625, 0.126, 0.625)
Ag (0.625, 0.625, 0.126)
Ag (0.625, 0.625, 0.625)

No. 8
DFT (GGA-PBE) results for crystalline PuInCu at its relaxed geometry.

The value obtained for the formation enthalpy at 0 K is 0.010 eV/atom. Its space group is Immm.

Unit cell a=4.068 b=5.862 c=11.372 alpha=90.00 beta=90.00 gamma=90.00
Positions (direct):
Pu (0.000, 0.000, 0.211)
Pu (0.000, 0.000, 0.789)
Pu (0.500, 0.500, 0.289)
Pu (0.500, 0.500, 0.711)
In (0.000, 0.254, 0.500)
In (0.000, 0.746, 0.500)
In (0.500, 0.246, 0.000)
In (0.500, 0.754, 0.000)
Cu (0.000, 0.500, 0.108)
Cu (0.000, 0.500, 0.892)
Cu (0.500, 0.000, 0.392)
Cu (0.500, 0.000, 0.608)

No. 9
DFT (GGA-PBE) results for crystalline AlRhAu at its relaxed geometry.

The value obtained for the formation enthalpy at 0 K is -0.417 eV/atom. Its space group is P3m1.

Unit cell a=4.240 b=4.240 c=3.014 alpha=90.00 beta=90.00 gamma=120.00
Positions (direct):
Al (0.000, 0.000, 0.000)
Rh (0.333, 0.667, 0.754)
Au (0.667, 0.333, 0.279)

No. 10
DFT (GGA-PBE) results for crystalline HfZr4Cu at its relaxed geometry.

The value obtained for the formation enthalpy at 0 K is -0.034 eV/atom. Its space group is P4/mmm.

Unit cell a=3.200 b=3.200 c=12.462 alpha=90.00 beta=90.00 gamma=90.00
Positions (direct):
Hf (0.000, 0.000, 0.000)
Zr (0.000, 0.000, 0.359)
Zr (0.000, 0.000, 0.641)
Zr (0.500, 0.500, 0.178)
Zr (0.500, 0.500, 0.822)
Cu (0.500, 0.500, 0.500)

No. 11
DFT (GGA-PBE) results for crystalline Zr4RhC2 at its relaxed geometry.

The value obtained for the formation enthalpy at 0 K is -0.700 eV/atom. Its space group is Cmcm.

Unit cell a=5.876 b=5.876 c=12.096 alpha=90.00 beta=90.00 gamma=146.61
Positions (direct):
Zr (0.000, 0.000, 0.000)
Zr (0.000, 0.000, 0.500)
Zr (0.270, 0.730, 0.607)
Zr (0.270, 0.730, 0.893)
Zr (0.431, 0.569, 0.250)
Zr (0.569, 0.431, 0.750)
Zr (0.730, 0.270, 0.107)
Zr (0.730, 0.270, 0.393)
Rh (0.111, 0.889, 0.250)
Rh (0.889, 0.111, 0.750)
C (0.365, 0.635, 0.061)
C (0.365, 0.635, 0.439)
C (0.635, 0.365, 0.561)
C (0.635, 0.365, 0.939)

No. 12
DFT (GGA-PBE) results for crystalline SrPrMg2In4 at its relaxed geometry.

The value obtained for the formation enthalpy at 0 K is -0.303 eV/atom. Its space group is R-3m.

Unit cell a=9.303 b=9.303 c=9.303 alpha=33.43 beta=33.43 gamma=33.43
Positions (direct):
Sr (0.000, 0.000, 0.000)
Pr (0.500, 0.500, 0.500)
Mg (0.250, 0.250, 0.250)
Mg (0.750, 0.750, 0.750)
In (0.126, 0.126, 0.126)
In (0.376, 0.376, 0.376)
In (0.624, 0.624, 0.624)
In (0.874, 0.874, 0.874)

No. 13
DFT (GGA-PBE) results for crystalline EuTh3H at its relaxed geometry.

Its space group is Pm-3m.

Unit cell a=5.123 b=5.123 c=5.123 alpha=90.00 beta=90.00 gamma=90.00
Positions (direct):
Eu (0.000, 0.000, 0.000)
Th (0.000, 0.500, 0.500)
Th (0.500, 0.000, 0.500)
Th (0.500, 0.500, 0.000)
H (0.500, 0.500, 0.500)

No. 14
DFT (GGA-PBE) results for crystalline Li2YRhO at its relaxed geometry.

Its space group is P4/mmm. Its formation energy (no corrections) is -1.251 eV/atom.

Unit cell a=3.991 b=3.991 c=4.649 alpha=90.00 beta=90.00 gamma=90.00
Positions (direct):
Li (0.000, 0.500, 0.000)
Li (0.500, 0.000, 0.000)
Y (0.000, 0.000, 0.500)
Rh (0.500, 0.500, 0.500)
O (0.000, 0.000, 0.000)

No. 15
DFT (GGA-PBE) results for crystalline Ca8Ge2H at its relaxed geometry.

Its space group is C2/m.

Unit cell a=10.184 b=10.184 c=7.881 alpha=90.45 beta=90.45 gamma=24.91
Positions (direct):
Ca (0.001, 0.001, 0.266)
Ca (0.230, 0.230, 0.214)
Ca (0.376, 0.376, 0.487)
Ca (0.391, 0.391, 0.012)
Ca (0.609, 0.609, 0.988)
Ca (0.624, 0.624, 0.513)
Ca (0.770, 0.770, 0.786)
Ca (0.999, 0.999, 0.734)
Ge (0.165, 0.165, 0.764)
Ge (0.835, 0.835, 0.236)
H (0.500, 0.500, 0.500)

No. 16
DFT (GGA-PBE) results for crystalline NaSbTe4Pb2 at its relaxed geometry.

Its space group is P2/m. Its formation energy (no corrections) is -0.399 eV/atom.

Unit cell a=7.829 b=4.540 c=7.894 alpha=90.00 beta=108.84 gamma=90.00
Positions (direct):
Na (0.000, 0.000, 0.000)
Sb (0.000, 0.500, 0.500)
Te (0.234, 0.000, 0.740)
Te (0.241, 0.500, 0.254)
Te (0.759, 0.500, 0.746)
Te (0.766, 0.000, 0.260)
Pb (0.500, 0.000, 0.500)
Pb (0.500, 0.500, 0.000)

No. 17
DFT (GGA-PBE) results for crystalline ZrPRh2 at its relaxed geometry.

The value obtained for the formation enthalpy at 0 K is -0.632 eV/atom. Its space group is P2/m.

Unit cell a=3.173 b=3.878 c=5.419 alpha=90.00 beta=90.21 gamma=90.00
Positions (direct):
Zr (0.000, 0.000, 0.000)
P (0.500, 0.000, 0.500)
Rh (0.499, 0.500, 0.748)
Rh (0.501, 0.500, 0.252)

No. 18
DFT (GGA-PBE) results for crystalline PmY4Al2 at its relaxed geometry.

The value obtained for the formation enthalpy at 0 K is 0.070 eV/atom. Its space group is R-3m.

Unit cell a=10.575 b=10.575 c=10.575 alpha=27.57 beta=27.57 gamma=27.57
Positions (direct):
Pm (0.000, 0.000, 0.000)
Y (0.203, 0.203, 0.203)
Y (0.397, 0.397, 0.397)
Y (0.603, 0.603, 0.603)
Y (0.797, 0.797, 0.797)
Al (0.100, 0.100, 0.100)
Al (0.900, 0.900, 0.900)

No. 19
DFT (GGA-PBE) results for crystalline SrAc2As3Rh4 at its relaxed geometry.

The value obtained for the formation enthalpy at 0 K is -0.818 eV/atom. Its space group is P-4m2.

Unit cell a=4.260 b=4.260 c=11.890 alpha=90.00 beta=90.00 gamma=90.00
Positions (direct):
Sr (0.000, 0.000, 0.000)
Ac (0.000, 0.500, 0.732)
Ac (0.500, 0.000, 0.268)
As (0.000, 0.500, 0.383)
As (0.500, 0.000, 0.617)
As (0.500, 0.500, 0.000)
Rh (0.000, 0.000, 0.500)
Rh (0.000, 0.500, 0.179)
Rh (0.500, 0.000, 0.821)
Rh (0.500, 0.500, 0.500)

No. 20
DFT (GGA-PBE) results for crystalline Ba5Ac3S8 at its relaxed geometry.

Its space group is R-3m. Its formation energy (no corrections) is -2.056 eV/atom.

Unit cell a=8.920 b=8.920 c=8.920 alpha=59.72 beta=59.72 gamma=59.72
Positions (direct):
Ba (0.000, 0.000, 0.000)
Ba (0.000, 0.500, 0.500)
Ba (0.500, 0.000, 0.500)
Ba (0.500, 0.500, 0.000)
Ba (0.500, 0.500, 0.500)
Ac (0.000, 0.000, 0.500)
Ac (0.000, 0.500, 0.000)
Ac (0.500, 0.000, 0.000)
S (0.235, 0.750, 0.750)
S (0.244, 0.244, 0.244)
S (0.250, 0.250, 0.765)
S (0.250, 0.765, 0.250)
S (0.750, 0.235, 0.750)
S (0.750, 0.750, 0.235)
S (0.756, 0.756, 0.756)
S (0.765, 0.250, 0.250)

No. 21
DFT (GGA-PBE) results for crystalline ZnHgOs2 at its relaxed geometry.

The value obtained for the formation enthalpy at 0 K is 0.969 eV/atom. Its space group is Fm-3m.

Unit cell a=6.308 b=6.308 c=6.308 alpha=90.00 beta=90.00 gamma=90.00
Positions (direct):
Zn (0.000, 0.000, 0.000)
Zn (0.000, 0.500, 0.500)
Zn (0.500, 0.000, 0.500)
Zn (0.500, 0.500, 0.000)
Hg (0.000, 0.000, 0.500)
Hg (0.000, 0.500, 0.000)
Hg (0.500, 0.000, 0.000)
Hg (0.500, 0.500, 0.500)
Os (0.250, 0.250, 0.250)
Os (0.250, 0.250, 0.750)
Os (0.250, 0.750, 0.250)
Os (0.250, 0.750, 0.750)
Os (0.750, 0.250, 0.250)
Os (0.750, 0.250, 0.750)
Os (0.750, 0.750, 0.250)
Os (0.750, 0.750, 0.750)

No. 22
DFT (GGA-PBE) results for crystalline Sc2MoCl at its relaxed geometry.

Its space group is Pmmm. Its formation energy (no corrections) is -0.547 eV/atom.

Unit cell a=3.193 b=3.449 c=7.686 alpha=90.00 beta=90.00 gamma=90.00
Positions (direct):
Sc (0.000, 0.000, 0.211)
Sc (0.000, 0.000, 0.789)
Mo (0.500, 0.500, 0.000)
Cl (0.500, 0.000, 0.500)

No. 23
DFT (GGA-PBE) results for crystalline TiC2BrCl at its relaxed geometry.

Its space group is P4/mmm. Its formation energy (no corrections) is 2.378 eV/atom.

Unit cell a=3.742 b=3.742 c=5.692 alpha=90.00 beta=90.00 gamma=90.00
Positions (direct):
Ti (0.000, 0.000, 0.000)
C (0.000, 0.500, 0.500)
C (0.500, 0.000, 0.500)
Br (0.500, 0.500, 0.000)
Cl (0.500, 0.500, 0.500)

No. 24
DFT (GGA-PBE) results for crystalline ThGa2Pt4 at its relaxed geometry.

The value obtained for the formation enthalpy at 0 K is -0.855 eV/atom. Its space group is Pnma.

Unit cell a=16.582 b=4.171 c=7.462 alpha=90.00 beta=90.00 gamma=90.00
Positions (direct):
Th (0.150, 0.250, 0.076)
Th (0.350, 0.750, 0.576)
Th (0.650, 0.250, 0.424)
Th (0.850, 0.750, 0.924)
Ga (0.015, 0.750, 0.254)
Ga (0.182, 0.250, 0.621)
Ga (0.318, 0.750, 0.121)
Ga (0.485, 0.250, 0.754)
Ga (0.515, 0.750, 0.246)
Ga (0.682, 0.250, 0.879)
Ga (0.818, 0.750, 0.379)
Ga (0.985, 0.250, 0.746)
Pt (0.045, 0.750, 0.908)
Pt (0.052, 0.250, 0.435)
Pt (0.172, 0.750, 0.392)
Pt (0.213, 0.750, 0.822)
Pt (0.287, 0.250, 0.322)
Pt (0.328, 0.250, 0.892)
Pt (0.448, 0.750, 0.935)
Pt (0.455, 0.250, 0.408)
Pt (0.545, 0.750, 0.592)
Pt (0.552, 0.250, 0.065)
Pt (0.672, 0.750, 0.108)
Pt (0.713, 0.750, 0.678)
Pt (0.787, 0.250, 0.178)
Pt (0.828, 0.250, 0.608)
Pt (0.948, 0.750, 0.565)
Pt (0.955, 0.250, 0.092)

Number 1: density of states at the Fermi level 1.36 states/eV/f.u., energy -11.7 eV per formula unit. Number 2: density of states at the Fermi level 0.15 states/eV/f.u., energy -11.9 eV per formula unit. Number 3: density of states at the Fermi level 2.27 states/eV/f.u., energy -17.8 eV per formula unit. Number 4: density of states at the Fermi level 18.36 states/eV/f.u., energy -74.5 eV per formula unit. Number 5: density of states at the Fermi level 5.18 states/eV/f.u., energy -27.7 eV per formula unit. Number 6: density of states at the Fermi level 12.23 states/eV/f.u., energy -30.5 eV per formula unit. Number 7: density of states at the Fermi level 5.71 states/eV/f.u., energy -31.2 eV per formula unit. Number 8: density of states at the Fermi level 9.86 states/eV/f.u., energy -21.1 eV per formula unit. Number 9: density of states at the Fermi level 0.75 states/eV/f.u., energy -15.6 eV per formula unit. Number 10: density of states at the Fermi level 7.38 states/eV/f.u., energy -48.4 eV per formula unit. Number 11: density of states at the Fermi level 3.98 states/eV/f.u., energy -64.9 eV per formula unit. Number 12: density of states at the Fermi level 3.09 states/eV/f.u., energy -23.0 eV per formula unit. Number 13: density of states at the Fermi level 8.67 states/eV/f.u., energy -35.8 eV per formula unit. Number 14: density of states at the Fermi level 0.84 states/eV/f.u., energy -28.9 eV per formula unit. Number 15: density of states at the Fermi level 6.54 states/eV/f.u., energy -31.8 eV per formula unit. Number 16: density of states at the Fermi level 1.33 states/eV/f.u., energy -28.6 eV per formula unit. Number 17: density of states at the Fermi level 2.26 states/eV/f.u., energy -31.2 eV per formula unit. Number 18: density of states at the Fermi level 9.67 states/eV/f.u., energy -37.6 eV per formula unit. Number 19: density of states at the Fermi level 4.09 states/eV/f.u., energy -61.4 eV per formula unit. Number 20: density of states at the Fermi level 3.72 states/eV/f.u., energy -87.9 eV per formula unit. Number 21: density of states at the Fermi level 6.27 states/eV/f.u., energy -20.2 eV per formula unit. Number 22: density of states at the Fermi level 3.56 states/eV/f.u., energy -27.5 eV per formula unit. Number 23: density of states at the Fermi level 6.31 states/eV/f.u., energy -18.0 eV per formula unit. Number 24: density of states at the Fermi level 2.57 states/eV/f.u., energy -43.6 eV per formula unit.